Entry 1:
This record from Alexandria via LeMat-Bulk describes crystalline KSr2Cd6 at its relaxed geometry. The functional is PBE.

Cell and atoms, written as CIF:
```
data_KSr2Cd6
_chemical_formula_sum 'K1 Sr2 Cd6'
_space_group_name_H-M_alt 'P 6/m m m'
_space_group_IT_number 191
_space_group_name_Hall '-P 6 2'
_cell_length_a 8.8926
_cell_length_b 8.8926
_cell_length_c 4.0835
_cell_angle_alpha 90.00
_cell_angle_beta 90.00
_cell_angle_gamma 120.00
loop_
_atom_site_label
_atom_site_fract_x
_atom_site_fract_y
_atom_site_fract_z
_atom_site_occupancy
K1 0.0000 0.0000 0.0000 1
Sr1 0.3333 0.6667 0.0000 1
Cd1 0.0000 0.3351 0.5000 1
```

=====

Entry 2:
This record from Alexandria via LeMat-Bulk describes crystalline EuInPbAu at its relaxed geometry. The functional is PBE.

Cell and atoms, written as CIF:
```
data_EuInPbAu
_chemical_formula_sum 'Eu4 In4 Pb4 Au4'
_space_group_name_H-M_alt 'F -4 3 m'
_space_group_IT_number 216
_space_group_name_Hall 'F -4 2 3'
_cell_length_a 7.4648
_cell_length_b 7.4648
_cell_length_c 7.4648
_cell_angle_alpha 90.00
_cell_angle_beta 90.00
_cell_angle_gamma 90.00
loop_
_atom_site_label
_atom_site_fract_x
_atom_site_fract_y
_atom_site_fract_z
_atom_site_occupancy
Eu1 0.0000 0.0000 0.0000 1
In1 0.0000 0.0000 0.5000 1
Pb1 0.2500 0.2500 0.7500 1
Au1 0.2500 0.2500 0.2500 1
```

=====

Entry 3:
This record from Alexandria via LeMat-Bulk describes crystalline Na2LaHg4 at its relaxed geometry. The functional is PBE.

Cell and atoms, written as CIF:
```
data_Na2LaHg4
_chemical_formula_sum 'Na6 La3 Hg12'
_space_group_name_H-M_alt 'R -3 m'
_space_group_IT_number 166
_space_group_name_Hall '-R 3 2"'
_cell_length_a 5.2733
_cell_length_b 5.2733
_cell_length_c 25.8139
_cell_angle_alpha 90.00
_cell_angle_beta 90.00
_cell_angle_gamma 120.00
loop_
_atom_site_label
_atom_site_fract_x
_atom_site_fract_y
_atom_site_fract_z
_atom_site_occupancy
Na1 0.0000 0.0000 0.2456 1
La1 0.0000 0.0000 0.0000 1
Hg1 0.0000 0.0000 0.1256 1
Hg2 0.0000 0.0000 0.3788 1
```

=====

Entry 4:
This record from Alexandria via LeMat-Bulk describes crystalline Rb3Ga8Ge3 at its relaxed geometry. The functional is PBE.

Cell and atoms, written as CIF:
```
data_Rb3Ga8Ge3
_chemical_formula_sum 'Rb6 Ga16 Ge6'
_space_group_name_H-M_alt 'I m m m'
_space_group_IT_number 71
_space_group_name_Hall '-I 2 2'
_cell_length_a 4.7850
_cell_length_b 10.5251
_cell_length_c 13.4587
_cell_angle_alpha 90.00
_cell_angle_beta 90.00
_cell_angle_gamma 90.00
loop_
_atom_site_label
_atom_site_fract_x
_atom_site_fract_y
_atom_site_fract_z
_atom_site_occupancy
Rb1 0.0000 0.0000 0.0000 1
Rb2 0.0000 0.0000 0.3052 1
Ga1 0.0000 0.2766 0.1420 1
Ga2 0.0000 0.3599 0.3378 1
Ge1 0.0000 0.2066 0.5000 1
Ge2 0.0000 0.5000 0.0000 1
```

=====

Entry 5:
This record from Alexandria via LeMat-Bulk describes crystalline LiCdCo4 at its relaxed geometry. The functional is PBE.

Cell and atoms, written as CIF:
```
data_LiCdCo4
_chemical_formula_sum 'Li4 Cd4 Co16'
_space_group_name_H-M_alt 'F -4 3 m'
_space_group_IT_number 216
_space_group_name_Hall 'F -4 2 3'
_cell_length_a 6.8313
_cell_length_b 6.8313
_cell_length_c 6.8313
_cell_angle_alpha 90.00
_cell_angle_beta 90.00
_cell_angle_gamma 90.00
loop_
_atom_site_label
_atom_site_fract_x
_atom_site_fract_y
_atom_site_fract_z
_atom_site_occupancy
Li1 0.0000 0.0000 0.0000 1
Cd1 0.2500 0.2500 0.7500 1
Co1 0.1254 0.1254 0.3746 1
```

=====

Entry 6:
# CrCoP2, relaxed, DFT PBE
data_CrCoP2
_chemical_formula_sum 'Cr2 Co2 P4'
_space_group_name_H-M_alt 'C m m m'
_space_group_IT_number 65
_space_group_name_Hall '-C 2 2'
_cell_length_a 5.5589
_cell_length_b 5.5683
_cell_length_c 2.8704
_cell_angle_alpha 90.00
_cell_angle_beta 90.00
_cell_angle_gamma 90.00
loop_
_atom_site_label
_atom_site_fract_x
_atom_site_fract_y
_atom_site_fract_z
_atom_site_occupancy
Cr1 0.0000 0.0000 0.0000 1
Co1 0.0000 0.5000 0.0000 1
P1 0.2500 0.2500 0.5000 1
# - energy relative to the lowest polymorph listed for this composition (meV per atom) = 120.9

=====

Q: Which energy values were calculated for the entries above? A: -1.340 -5.409 -1.488 -2.893 -5.057 -7.109, in eV/atom.
Q: Which energy of formation from the pure elements values were calculated for the entries above? A: -0.23 -0.41 -0.23 0.03 0.15 -0.22, in eV/atom.